Entry 1:
Compound: HfPdSe
Source: Alexandria
Functional: PBE-GGA
Structure: optimized geometry

Calculated volume (Å³ per cell): 237.9
E (eV/atom): -7.0167
ΔE_f (raw) (kJ/mol of formula units): -233

Cell lengths 3.543, 5.385, 12.470 Å; angles 90.00, 90.00, 90.00 degrees
Space group Immm (No. 71)
One atom of each set of equivalent atoms:
Hf 0.000 0.000 0.134 [4 per cell]
Pd 0.000 0.244 0.500 [4 per cell]
Se 0.000 0.500 0.198 [4 per cell]

=====

Entry 2:
Compound: HfPdSe3
Source: Alexandria
Functional: PBE-GGA
Structure: optimized geometry

Calculated volume (Å³ per cell): 135.4
Offset from the most stable computed form (eV/f.u.): 0.000
E (eV/atom): -5.2015
ΔE_f (raw) (kJ/mol of formula units): -39

Cell lengths 5.135, 5.135, 5.135 Å; angles 90.00, 90.00, 90.00 degrees
Space group Pm-3m (No. 221)
One atom of each set of equivalent atoms:
Hf 0.000 0.000 0.000 [1 per cell]
Pd 0.500 0.500 0.500 [1 per cell]
Se 0.000 0.000 0.500 [3 per cell]